(1)
The following is a PBE calculation of a relaxed Nd4NiI5 crystal, from Alexandria via LeMat-Bulk.

Lattice parameters (Å, degrees): 4.188 9.135 10.097 102.59 101.97 90.00
Sites, in units of the cell vectors:
Nd 0.355 0.924 0.710
Nd 0.000 0.796 0.001
Nd 0.645 0.076 0.290
Nd 0.000 0.204 0.999
Ni 0.500 0.000 0.000
I 0.833 0.652 0.666
I 0.825 0.176 0.650
I 0.175 0.824 0.350
I 0.500 0.500 0.000
I 0.167 0.348 0.334

E_form (uncorrected): -1.0827 eV/atom
Volume: 368.4 Å³/cell

***

(2)
The following is a PBE calculation of a relaxed LaMgSc2 crystal, from Alexandria via LeMat-Bulk.

Lattice parameters (Å, degrees): 5.727 5.727 3.423 90.00 90.00 106.68
Sites, in units of the cell vectors:
La 0.500 0.000 0.500
Mg 0.000 0.500 0.500
Sc 0.000 0.000 0.000
Sc 0.500 0.500 0.000

Calculated formation energy: 0.103 eV/atom
Volume: 107.5 Å³/cell

***

(3)
The following is a PBE calculation of a relaxed Hf2Mg crystal, from Alexandria via LeMat-Bulk.

Lattice parameters (Å, degrees): 5.628 5.628 5.047 90.00 90.00 90.00
Last column: magnetic moment on the atom in μB.
Sites, in units of the cell vectors:
Hf 0.331 0.331 0.000  0.38
Hf 0.669 0.669 0.000  0.38
Hf 0.831 0.169 0.500  0.38
Hf 0.169 0.831 0.500  0.38
Mg 0.000 0.000 0.000  0.01
Mg 0.500 0.500 0.500  0.01

Calculated formation energy: 1.338 eV/atom
Volume: 159.9 Å³/cell

***

(4)
The following is a PBE calculation of a relaxed Pm5DyTe6 crystal, from Alexandria via LeMat-Bulk.

Lattice parameters (Å, degrees): 7.704 7.704 7.725 99.53 99.53 120.34
Sites, in units of the cell vectors:
Dy 0.000 0.000 0.000
Te 0.408 0.082 0.245
Te 0.918 0.592 0.755
Te 0.243 0.243 0.750
Te 0.757 0.757 0.250
Te 0.082 0.408 0.245
Te 0.592 0.918 0.755
Pm 0.827 0.173 0.500
Pm 0.668 0.332 0.000
Pm 0.500 0.500 0.500
Pm 0.332 0.668 0.000
Pm 0.173 0.827 0.500

E_form (uncorrected): -1.3888 eV/atom
Volume: 373.1 Å³/cell

***

(5)
The following is a PBE calculation of a relaxed YNbCl2 crystal, from Alexandria via LeMat-Bulk.

Lattice parameters (Å, degrees): 4.559 4.559 9.145 75.57 75.57 90.00
Last column: magnetic moment on the atom in μB.
Sites, in units of the cell vectors:
Y 0.500 0.500 0.000  0.06
Y 0.250 0.750 0.500  0.07
Nb 0.000 0.000 0.000  0.91
Nb 0.750 0.250 0.500  0.91
Cl 0.650 0.125 0.250  -0.01
Cl 0.100 0.625 0.250  -0.01
Cl 0.375 0.350 0.750  0.00
Cl 0.875 0.900 0.750  0.00

E_form (uncorrected): -0.4737 eV/atom
Volume: 177.9 Å³/cell

***

(6)
The following is a PBE calculation of a relaxed Ca3HPd3Au2 crystal, from Alexandria via LeMat-Bulk.

Lattice parameters (Å, degrees): 4.149 7.003 7.003 120.00 90.00 90.00
Sites, in units of the cell vectors:
Ca 0.000 0.000 0.350
Ca 0.000 0.650 0.650
Ca 0.000 0.350 0.000
H 0.000 0.000 0.000
Pd 0.500 0.773 0.000
Pd 0.500 0.227 0.227
Pd 0.500 0.000 0.773
Au 0.500 0.333 0.667
Au 0.500 0.667 0.333

Raw total energy: -0.297 Ry per atom
Volume: 176.2 Å³/cell

***

Number 1: magnetic moment 0.00 μB/atom. Number 2: magnetic moment 0.00 μB/atom. Number 3: magnetic moment 0.40 μB/atom. Number 4: magnetic moment 0.00 μB/atom. Number 5: magnetic moment 0.33 μB/atom. Number 6: magnetic moment 0.00 μB/atom.